# 1
First-principles (PBE) data for NbRePO after structural relaxation, as listed in OQMD.

Geometry as POSCAR:
```
NbRePO
1.0
-2.590 0.898 -2.551
1.642 -2.284 -2.471
-4.217 -5.550 2.328
Re O Nb P
2 2 2 2
direct
0.000 0.500 0.170
0.500 0.000 0.830
0.000 0.000 0.000
0.500 0.500 0.000
0.500 0.500 0.500
0.000 0.000 0.500
0.000 0.500 0.752
0.500 0.000 0.248
```

Properties
The final energy is -66.5 eV/cell.

---

# 2
First-principles (PBE) data for Nd2GdMg3Ga2Au after structural relaxation, as listed in OQMD.

Geometry as POSCAR:
```
Nd2GdMg3Ga2Au
1.0
4.429 0.000 0.000
0.000 6.498 3.762
0.000 -6.498 3.762
Nd Mg Gd Au Ga
2 3 1 1 2
direct
0.000 0.001 0.413
0.000 0.413 0.001
0.500 0.252 0.252
0.500 0.750 0.998
0.500 0.998 0.750
0.000 0.588 0.588
0.000 0.996 0.996
0.500 0.336 0.666
0.500 0.666 0.336
```

Properties
The final energy is -33.3 eV/cell.

---

# 3
First-principles (PBE) data for KLaZnSe3 after structural relaxation, as listed in OQMD.

Geometry as POSCAR:
```
KLaZnSe3
1.0
-8.239 -5.386 1.926
-5.240 -8.486 1.060
3.420 1.122 7.833
Se Zn La K
6 2 2 2
direct
0.340 0.340 0.694
0.500 0.500 0.500
0.322 0.322 0.147
0.000 0.000 0.000
0.660 0.660 0.306
0.678 0.678 0.853
0.467 0.467 0.762
0.533 0.533 0.238
0.833 0.833 0.926
0.167 0.167 0.074
0.130 0.130 0.571
0.870 0.870 0.429
```

Properties
The final energy is -50.8 eV/cell.

---

# 4
First-principles (PBE) data for TmPuGe after structural relaxation, as listed in OQMD.

Geometry as POSCAR:
```
TmPuGe
1.0
0.000 3.440 3.440
3.440 0.000 3.440
3.440 3.440 0.000
Tm Ge Pu
1 1 1
direct
0.750 0.750 0.750
0.000 0.000 0.000
0.250 0.250 0.250
```

Properties
The final energy is -24.2 eV/cell.

---

# 5
First-principles (PBE) data for ZrB after structural relaxation, as listed in OQMD.

Geometry as POSCAR:
```
ZrB
1.0
-1.600 0.856 -2.983
-2.903 -1.472 1.135
-1.396 4.278 1.977
Zr B
2 2
direct
0.166 0.000 0.000
0.667 0.500 0.500
0.667 0.500 0.000
0.167 0.000 0.500
```

Properties
The final energy is -32.0 eV/cell.

---

# 6
First-principles (PBE) data for Li2ZrTcN2O2 after structural relaxation, as listed in OQMD.

Geometry as POSCAR:
```
Li2ZrTcN2O2
1.0
-2.604 -2.201 -2.620
-1.642 -2.085 3.383
-2.915 2.961 0.410
Tc N O Li Zr
1 2 2 2 1
direct
0.000 0.000 0.000
0.000 0.500 0.999
0.500 0.000 0.001
0.000 0.000 0.500
0.500 0.500 0.500
0.500 0.000 0.501
0.000 0.500 0.499
0.500 0.500 0.000
```

Properties
The final energy is -60.5 eV/cell.

---

# 7
First-principles (PBE) data for SrCuAgAs2 after structural relaxation, as listed in OQMD.

Geometry as POSCAR:
```
SrCuAgAs2
1.0
4.372 0.000 0.000
0.000 4.372 0.000
0.000 0.000 11.022
Cu Sr As Ag
2 2 4 2
direct
0.000 0.000 0.000
0.500 0.500 0.000
0.500 0.000 0.231
0.000 0.500 0.769
0.000 0.000 0.500
0.500 0.500 0.500
0.000 0.500 0.118
0.500 0.000 0.882
0.000 0.500 0.354
0.500 0.000 0.646
```

Properties
The final energy is -39.6 eV/cell.

---

# 8
First-principles (PBE) data for TbTm2Ag3 after structural relaxation, as listed in OQMD.

Geometry as POSCAR:
```
TbTm2Ag3
1.0
3.578 0.000 0.000
0.000 3.578 0.000
0.000 0.000 10.880
Ag Tm Tb
3 2 1
direct
0.000 0.000 0.000
0.000 0.000 0.327
0.000 0.000 0.673
0.500 0.500 0.164
0.500 0.500 0.836
0.500 0.500 0.500
```

Properties
The value obtained for the formation energy is -0.34 eV/atom.

---

# 9
First-principles (PBE) data for SmInCu after structural relaxation, as listed in OQMD.

Geometry as POSCAR:
```
SmInCu
1.0
-6.457 2.957 0.356
0.657 -6.955 -1.330
-0.156 -0.892 4.589
Sm Cu In
3 3 3
direct
0.000 0.565 0.500
0.565 0.000 0.500
0.435 0.435 0.500
0.777 0.777 0.000
0.000 0.223 0.000
0.223 0.000 0.000
0.333 0.667 0.000
0.667 0.333 0.000
0.000 0.000 0.500
```

Properties
The final energy is -35.8 eV/cell.

---

# 10
First-principles (PBE) data for SmZrTl after structural relaxation, as listed in OQMD.

Geometry as POSCAR:
```
SmZrTl
1.0
-1.887 -4.609 0.771
-4.989 -0.717 -0.025
-2.167 -2.504 -3.799
Tl Sm Zr
1 1 1
direct
0.000 0.000 0.000
0.250 0.250 0.250
0.750 0.750 0.750
```

Properties
The final energy is -14.9 eV/cell.

---

# 11
First-principles (PBE) data for Ta2CdN after structural relaxation, as listed in OQMD.

Geometry as POSCAR:
```
Ta2CdN
1.0
-1.855 1.020 -2.302
-1.226 -1.540 2.430
-1.827 12.565 7.042
N Ta Cd
2 4 2
direct
0.000 0.000 0.000
0.000 0.000 0.500
0.333 0.667 0.082
0.667 0.333 0.582
0.667 0.333 0.918
0.333 0.667 0.418
0.667 0.333 0.250
0.333 0.667 0.750
```

Properties
The final energy is -69.1 eV/cell.

---

# 12
First-principles (PBE) data for FeBIrOs after structural relaxation, as listed in OQMD.

Geometry as POSCAR:
```
FeBIrOs
1.0
0.000 2.910 2.910
2.910 0.000 2.910
2.910 2.910 0.000
Ir Os B Fe
1 1 1 1
direct
0.500 0.500 0.500
0.250 0.250 0.250
0.000 0.000 0.000
0.750 0.750 0.750
```

Properties
The final energy is -32.4 eV/cell.